1.
VASP calculation (GGA-PBE) on an optimized crystal structure of ZrPa2PtRh5.

Values from the calculation:
- Space-group type: No. 140
- D(E_F): 17.8 states/eV/cell
- ΔH_f (0 K): -409 meV per atom
- Total moment: 0.000 μB/cell
- Calculated volume: 348.9 Å³ per cell

abc: 7.8542 7.8542 7.8542
angles: 118.73 118.73 92.21
Fractional coordinates of all 18 atoms:
Zr: 0.2500 0.2500 0.0000
Zr: 0.7500 0.7500 0.0000
Pa: 0.1315 0.6315 0.7629
Pa: 0.3685 0.1315 0.5000
Pa: 0.6315 0.8685 0.5000
Pa: 0.8685 0.3685 0.2371
Pt: 0.2500 0.7500 0.5000
Pt: 0.7500 0.2500 0.5000
Rh: 0.0000 0.0000 0.0000
Rh: 0.0662 0.1595 0.5000
Rh: 0.1595 0.6595 0.0933
Rh: 0.3405 0.4338 0.5000
Rh: 0.4338 0.9338 0.0933
Rh: 0.5000 0.5000 0.0000
Rh: 0.5662 0.0662 0.9067
Rh: 0.6595 0.5662 0.5000
Rh: 0.8405 0.3405 0.9067
Rh: 0.9338 0.8405 0.5000

---

2.
VASP calculation (GGA-PBE) on an optimized crystal structure of Np2TlTe4.

Values from the calculation:
- Space-group type: No. 12
- D(E_F): 32.8 states/eV/cell
- E_form (uncorrected): -520.5 meV per atom
- Total moment: 13.962 μB/cell
- Calculated volume: 576.3 Å³ per cell

abc: 9.3348 9.3348 9.3503
angles: 120.00 120.00 60.04
Fractional coordinates of all 14 atoms:
Np: 0.0000 0.0000 0.0000
Np: 0.0000 0.0000 0.5000
Np: 0.0000 0.5000 0.0000
Np: 0.5000 0.0000 0.0000
Tl: 0.3747 0.3747 0.6242
Tl: 0.6253 0.6253 0.3757
Te: 0.2034 0.7660 0.2350
Te: 0.2340 0.7966 0.7650
Te: 0.2346 0.2346 0.2030
Te: 0.2347 0.2347 0.7660
Te: 0.7653 0.7653 0.2340
Te: 0.7654 0.7654 0.7970
Te: 0.7660 0.2034 0.2350
Te: 0.7966 0.2340 0.7650

---

> What is the total moment in the second record?

13.962 μB/cell

---

> Number 1 is which compound?

ZrPa2PtRh5

---

> Number 2 is which compound?

Np2TlTe4

---

Please write out number 1 again, unchanged.
VASP calculation (GGA-PBE) on an optimized crystal structure of ZrPa2PtRh5.

Values from the calculation:
- Space-group type: No. 140
- D(E_F): 17.8 states/eV/cell
- ΔH_f (0 K): -409 meV per atom
- Total moment: 0.000 μB/cell
- Calculated volume: 348.9 Å³ per cell

abc: 7.8542 7.8542 7.8542
angles: 118.73 118.73 92.21
Fractional coordinates of all 18 atoms:
Zr: 0.2500 0.2500 0.0000
Zr: 0.7500 0.7500 0.0000
Pa: 0.1315 0.6315 0.7629
Pa: 0.3685 0.1315 0.5000
Pa: 0.6315 0.8685 0.5000
Pa: 0.8685 0.3685 0.2371
Pt: 0.2500 0.7500 0.5000
Pt: 0.7500 0.2500 0.5000
Rh: 0.0000 0.0000 0.0000
Rh: 0.0662 0.1595 0.5000
Rh: 0.1595 0.6595 0.0933
Rh: 0.3405 0.4338 0.5000
Rh: 0.4338 0.9338 0.0933
Rh: 0.5000 0.5000 0.0000
Rh: 0.5662 0.0662 0.9067
Rh: 0.6595 0.5662 0.5000
Rh: 0.8405 0.3405 0.9067
Rh: 0.9338 0.8405 0.5000